1.
Below is a PBEsol-optimized structure of Tc5Ni4, with properties calculated at the SCAN level.

Computed properties:
Its symmetry is No. 139. The value obtained for the energy relative to the elements is 0.0 eV/f.u. As for the crystal system: tetragonal.

a b c (Å): 3.6688 5.8004 5.8004
angles (deg): 84.26 71.56 71.56
With the nearest neighbours (Å) after each atom.
Element x y z (fractional)
Ni (0.3369, 0.6631, 0.6631)  5 Ni 2.54-2.57, 7 Tc 2.57-2.62
Ni (0.6631, 0.3369, 0.3369)  5 Ni 2.54-2.57, 7 Tc 2.57-2.62
Ni (0.0000, 0.3369, 0.6631)  5 Ni 2.54-2.57, 7 Tc 2.57-2.62
Ni (0.0000, 0.6631, 0.3369)  5 Ni 2.54-2.57, 7 Tc 2.57-2.62
Tc (0.0000, 0.0000, 0.0000)  8 Tc 2.62, 4 Ni 2.62
Tc (0.3305, 0.0000, 0.3390)  6 Tc 2.55-2.64, 6 Ni 2.57-2.61
Tc (0.6695, 0.0000, 0.6610)  6 Tc 2.55-2.64, 6 Ni 2.57-2.61
Tc (0.6695, 0.6610, 0.0000)  6 Tc 2.55-2.64, 6 Ni 2.57-2.61
Tc (0.3305, 0.3390, 0.0000)  6 Tc 2.55-2.64, 6 Ni 2.57-2.61

2.
Below is a PBEsol-optimized structure of TcNi, with properties calculated at the SCAN level.

Computed properties:
Its symmetry is No. 194. The value obtained for the energy relative to the elements is 1.5 eV/f.u. For the polymorph energy (0 for the lowest one), the calculation gives 807 meV per atom. As for the crystal system: hexagonal.

a b c (Å): 3.7142 3.7142 4.5582
angles (deg): 90.00 90.00 120.00
With the nearest neighbours (Å) after each atom.
Element x y z (fractional)
Ni (0.0000, 0.0000, 0.0000)  2 Ni 2.28, 6 Tc 2.43
Ni (0.0000, 0.0000, 0.5000)  2 Ni 2.28, 6 Tc 2.43
Tc (0.6667, 0.3333, 0.7500)  6 Ni 2.43
Tc (0.3333, 0.6667, 0.2500)  6 Ni 2.43

3.
Below is a PBEsol-optimized structure of TcNi3, with properties calculated at the SCAN level.

Computed properties:
Its symmetry is No. 225. The value obtained for the energy relative to the elements is 0.8 eV/f.u. As for the crystal system: cubic.

a b c (Å): 3.9964 3.9964 3.9964
angles (deg): 60.00 60.00 60.00
With the nearest neighbours (Å) after each atom.
Element x y z (fractional)
Ni (0.2500, 0.2500, 0.2500)  4 Tc 2.45, 4 Ni 2.45
Ni (0.7500, 0.7500, 0.7500)  4 Ni 2.45, 4 Tc 2.45
Ni (0.5000, 0.5000, 0.5000)  8 Ni 2.45
Tc (0.0000, 0.0000, 0.0000)  8 Ni 2.45

4.
Below is a PBEsol-optimized structure of TcNi, with properties calculated at the SCAN level.

Computed properties:
Its symmetry is No. 141. The value obtained for the energy relative to the elements is 0.0 eV/f.u. For the polymorph energy (0 for the lowest one), the calculation gives 46 meV per atom. As for the crystal system: tetragonal.

a b c (Å): 3.6629 3.6629 4.4564
angles (deg): 114.27 114.27 90.00
With the nearest neighbours (Å) after each atom.
Element x y z (fractional)
Ni (0.7500, 0.2500, 0.5000)  4 Ni 2.58, 8 Tc 2.58-2.59
Ni (0.5000, 0.5000, 0.0000)  4 Ni 2.58, 8 Tc 2.58-2.59
Tc (0.2500, 0.7500, 0.5000)  4 Tc 2.58, 8 Ni 2.58-2.59
Tc (0.0000, 0.0000, 0.0000)  4 Tc 2.58, 8 Ni 2.58-2.59

5.
Below is a PBEsol-optimized structure of TcNi, with properties calculated at the SCAN level.

Computed properties:
Its symmetry is No. 62. The value obtained for the energy relative to the elements is -0.1 eV/f.u. For the polymorph energy (0 for the lowest one), the calculation gives 0 meV per atom. As for the crystal system: orthorhombic.

a b c (Å): 4.1287 4.5398 5.1656
angles (deg): 90.00 90.00 90.00
With the nearest neighbours (Å) after each atom.
Element x y z (fractional)
Ni (0.7500, 0.4245, 0.8793)  4 Ni 2.51-2.63, 8 Tc 2.55-2.64
Ni (0.2500, 0.0755, 0.3793)  4 Ni 2.51-2.63, 8 Tc 2.55-2.64
Ni (0.7500, 0.9245, 0.6207)  4 Ni 2.51-2.63, 8 Tc 2.55-2.64
Ni (0.2500, 0.5755, 0.1207)  4 Ni 2.51-2.63, 8 Tc 2.55-2.64
Tc (0.7500, 0.4135, 0.3747)  8 Ni 2.55-2.64, 4 Tc 2.56-2.61
Tc (0.2500, 0.0865, 0.8747)  8 Ni 2.55-2.64, 4 Tc 2.56-2.61
Tc (0.7500, 0.9135, 0.1253)  8 Ni 2.55-2.64, 4 Tc 2.56-2.61
Tc (0.2500, 0.5865, 0.6253)  8 Ni 2.55-2.64, 4 Tc 2.56-2.61

6.
Below is a PBEsol-optimized structure of TcNi3, with properties calculated at the SCAN level.

Computed properties:
Its symmetry is No. 62. The value obtained for the energy relative to the elements is 0.4 eV/f.u. As for the crystal system: orthorhombic.

a b c (Å): 4.3377 5.0623 8.2177
angles (deg): 90.00 90.00 90.00
With the nearest neighbours (Å) after each atom.
Element x y z (fractional)
Ni (0.0856, 0.1358, 0.7500)  8 Ni 2.46-2.53, 4 Tc 2.46-2.60
Ni (0.7493, 0.6199, 0.0001)  9 Ni 2.48-2.54, 3 Tc 2.50-2.54
Ni (0.7493, 0.6199, 0.4999)  9 Ni 2.48-2.54, 3 Tc 2.50-2.54
Ni (0.7507, 0.1199, 0.5001)  9 Ni 2.48-2.54, 3 Tc 2.50-2.54
Ni (0.7507, 0.1199, 0.9999)  9 Ni 2.48-2.54, 3 Tc 2.50-2.54
Ni (0.4144, 0.6358, 0.2500)  8 Ni 2.46-2.53, 4 Tc 2.46-2.60
Ni (0.5856, 0.3642, 0.7500)  8 Ni 2.46-2.53, 4 Tc 2.46-2.60
Ni (0.2493, 0.8801, 0.0001)  9 Ni 2.48-2.54, 3 Tc 2.50-2.54
Ni (0.2493, 0.8801, 0.4999)  9 Ni 2.48-2.54, 3 Tc 2.50-2.54
Ni (0.2507, 0.3801, 0.5001)  9 Ni 2.48-2.54, 3 Tc 2.50-2.54
Ni (0.2507, 0.3801, 0.9999)  9 Ni 2.48-2.54, 3 Tc 2.50-2.54
Ni (0.9144, 0.8642, 0.2500)  8 Ni 2.46-2.53, 4 Tc 2.46-2.60
Tc (0.9215, 0.3776, 0.2500)  10 Ni 2.46-2.60, 2 Tc 2.52
Tc (0.5785, 0.8776, 0.7500)  10 Ni 2.46-2.60, 2 Tc 2.52
Tc (0.4215, 0.1224, 0.2500)  10 Ni 2.46-2.60, 2 Tc 2.52
Tc (0.0785, 0.6224, 0.7500)  10 Ni 2.46-2.60, 2 Tc 2.52